# Os2C (PBE-GGA, relaxed)
# E above lowest polymorph   403 kJ/mol of formula units
# Energy relative to the elements   1.896 eV per atom
# Crystal system   hexagonal
# DFT total energy   -103.99 eV/cell
data_Os2C
_space_group_name_H-M_alt 'P 63/m m c'
_space_group_IT_number 194
_space_group_name_Hall '-P 6c 2c'
_cell_length_a 5.8909
_cell_length_b 5.8909
_cell_length_c 7.8335
_cell_angle_alpha 90.00
_cell_angle_beta 90.00
_cell_angle_gamma 120.00
loop_
_atom_site_label
_atom_site_type_symbol
_atom_site_fract_x
_atom_site_fract_y
_atom_site_fract_z
Os1 Os 0.0000 0.0000 0.0000
Os2 Os 0.1578 0.3156 0.2500
C1 C 0.3333 0.6667 0.1423


# GaPb2S (PBE-GGA, relaxed)
# E above lowest polymorph   6 kJ/mol of formula units
# Crystal system   trigonal
# DFT total energy   -42.69 eV/cell
# Formation energy (no corrections)   86 meV per atom
data_GaPb2S
_space_group_name_H-M_alt 'R -3 m'
_space_group_IT_number 166
_space_group_name_Hall '-R 3 2"'
_cell_length_a 3.6296
_cell_length_b 3.6296
_cell_length_c 30.3056
_cell_angle_alpha 90.00
_cell_angle_beta 90.00
_cell_angle_gamma 120.00
loop_
_atom_site_label
_atom_site_type_symbol
_atom_site_fract_x
_atom_site_fract_y
_atom_site_fract_z
Ga1 Ga 0.0000 0.0000 0.0000
Pb1 Pb 0.0000 0.0000 0.1013
S1 S 0.0000 0.0000 0.5000


# Hf2SnGe (PBE-GGA, relaxed)
# E above lowest polymorph   63 kJ/mol of formula units
# Energy relative to the elements   -0.195 eV per atom
# Crystal system   tetragonal
# DFT total energy   -117.22 eV/cell
data_Hf2SnGe
_space_group_name_H-M_alt 'I -4 2 d'
_space_group_IT_number 122
_space_group_name_Hall 'I -4 2bw'
_cell_length_a 7.593
_cell_length_b 7.593
_cell_length_c 6.082
_cell_angle_alpha 90.00
_cell_angle_beta 90.00
_cell_angle_gamma 90.00
loop_
_atom_site_label
_atom_site_type_symbol
_atom_site_fract_x
_atom_site_fract_y
_atom_site_fract_z
Hf1 Hf 0.229 0.750 0.125
Sn1 Sn 0.000 0.000 0.500
Ge1 Ge 0.000 0.000 0.000


# Hf3TiMn (PBE-GGA, relaxed)
# E above lowest polymorph   446 kJ/mol of formula units
# Energy relative to the elements   1.419 eV per atom
# Crystal system   cubic
# DFT total energy   -39.83 eV/cell
data_Hf3TiMn
_space_group_name_H-M_alt 'P m -3 m'
_space_group_IT_number 221
_space_group_name_Hall '-P 4 2 3'
_cell_length_a 4.810
_cell_length_b 4.810
_cell_length_c 4.810
_cell_angle_alpha 90.00
_cell_angle_beta 90.00
_cell_angle_gamma 90.00
loop_
_atom_site_label
_atom_site_type_symbol
_atom_site_fract_x
_atom_site_fract_y
_atom_site_fract_z
Hf1 Hf 0.000 0.000 0.500
Ti1 Ti 0.000 0.000 0.000
Mn1 Mn 0.500 0.500 0.500


# BaNi3Au (PBE-GGA, relaxed)
# E above lowest polymorph   601 kJ/mol of formula units
# Energy relative to the elements   1.764 eV per atom
# Crystal system   cubic
# DFT total energy   -13.73 eV/cell
data_BaNi3Au
_space_group_name_H-M_alt 'P m -3 m'
_space_group_IT_number 221
_space_group_name_Hall '-P 4 2 3'
_cell_length_a 4.855
_cell_length_b 4.855
_cell_length_c 4.855
_cell_angle_alpha 90.00
_cell_angle_beta 90.00
_cell_angle_gamma 90.00
loop_
_atom_site_label
_atom_site_type_symbol
_atom_site_fract_x
_atom_site_fract_y
_atom_site_fract_z
Ba1 Ba 0.000 0.000 0.000
Ni1 Ni 0.000 0.000 0.500
Au1 Au 0.500 0.500 0.500


# ZrAl4Ga4 (PBE-GGA, relaxed)
# Energy relative to the elements   -0.086 eV per atom
# Crystal system   triclinic
# DFT total energy   -36.40 eV/cell
data_ZrAl4Ga4
_space_group_name_H-M_alt 'P -1'
_space_group_IT_number 2
_space_group_name_Hall '-P 1'
_cell_length_a 3.879
_cell_length_b 5.122
_cell_length_c 9.022
_cell_angle_alpha 87.38
_cell_angle_beta 89.66
_cell_angle_gamma 68.06
loop_
_atom_site_label
_atom_site_type_symbol
_atom_site_fract_x
_atom_site_fract_y
_atom_site_fract_z
Zr1 Zr 0.000 0.000 0.000
Al1 Al 0.177 0.654 0.596
Al2 Al 0.413 0.170 0.216
Ga1 Ga 0.116 0.759 0.311
Ga2 Ga 0.288 0.423 0.894